KLiAuBr3, optimized geometry, DFT PBE; uncorrected formation energy = -1.055 eV/atom; magnetic moment = 0.00 μB per formula unit
1.0
7.461 -3.771 0.000
7.461 3.771 0.000
-2.864 0.000 7.235
K Li Au Br
2 2 2 6
direct
0.228 0.228 0.242 K
0.772 0.772 0.758 K
0.474 0.474 0.757 Li
0.526 0.526 0.243 Li
0.209 0.791 0.500 Au
0.791 0.209 0.500 Au
0.156 0.665 0.169 Br
0.305 0.305 0.684 Br
0.335 0.844 0.831 Br
0.665 0.156 0.169 Br
0.695 0.695 0.316 Br
0.844 0.335 0.831 Br

K2LiAuBr6, optimized geometry, DFT PBE; uncorrected formation energy = -1.002 eV/atom; magnetic moment = 0.00 μB per formula unit
1.0
-3.804 3.804 5.755
3.804 -3.804 5.755
3.804 3.804 -5.755
K Li Au Br
2 1 1 6
direct
0.250 0.750 0.500 K
0.750 0.250 0.500 K
0.000 0.000 0.000 Li
0.500 0.500 0.000 Au
0.210 0.210 0.000 Br
0.269 0.269 0.538 Br
0.269 0.731 0.000 Br
0.731 0.269 0.000 Br
0.731 0.731 0.462 Br
0.790 0.790 0.000 Br

K2MgAuBr6, optimized geometry, DFT PBE; uncorrected formation energy = -1.113 eV/atom; magnetic moment = 0.97 μB per formula unit
1.0
7.958 0.000 0.000
0.000 7.781 0.000
-7.536 0.000 10.270
K Mg Au Br
4 2 2 12
direct
0.228 0.057 0.243 K
0.228 0.443 0.743 K
0.772 0.557 0.257 K
0.772 0.943 0.757 K
0.000 0.000 0.500 Mg
0.000 0.500 0.000 Mg
0.500 0.000 0.000 Au
0.500 0.500 0.500 Au
0.129 0.242 0.951 Br
0.129 0.258 0.451 Br
0.261 0.723 0.952 Br
0.261 0.777 0.452 Br
0.357 0.032 0.757 Br
0.357 0.468 0.257 Br
0.643 0.532 0.743 Br
0.643 0.968 0.243 Br
0.739 0.223 0.548 Br
0.739 0.277 0.048 Br
0.871 0.742 0.549 Br
0.871 0.758 0.049 Br

KMo2AuBr, optimized geometry, DFT PBE; uncorrected formation energy = 1.416 eV/atom; magnetic moment = 3.50 μB per formula unit
1.0
4.750 0.000 0.000
0.000 4.750 0.000
0.000 0.000 5.640
K Mo Au Br
1 2 1 1
direct
0.000 0.000 0.000 K
0.000 0.500 0.500 Mo
0.500 0.000 0.500 Mo
0.500 0.500 0.000 Au
0.000 0.000 0.500 Br

KAuBrN2, optimized geometry, DFT PBE; uncorrected formation energy = 1.820 eV/atom; magnetic moment = 3.47 μB per formula unit
1.0
4.513 0.000 0.000
0.000 4.513 0.000
0.000 0.000 6.818
K Au Br N
1 1 1 2
direct
0.000 0.000 0.000 K
0.500 0.500 0.000 Au
0.000 0.000 0.500 Br
0.000 0.500 0.500 N
0.500 0.000 0.500 N

K2NaAu2Br6, optimized geometry, DFT PBE; uncorrected formation energy = -0.890 eV/atom; magnetic moment = 0.00 μB per formula unit
1.0
7.295 -3.679 0.000
7.295 3.679 0.000
-4.276 0.000 7.082
K Na Au Br
2 1 2 6
direct
0.238 0.238 0.220 K
0.762 0.762 0.780 K
0.000 0.000 0.500 Na
0.445 0.445 0.778 Au
0.555 0.555 0.222 Au
0.166 0.679 0.177 Br
0.246 0.246 0.631 Br
0.321 0.834 0.823 Br
0.679 0.166 0.177 Br
0.754 0.754 0.369 Br
0.834 0.321 0.823 Br

KNaAu2Br, optimized geometry, DFT PBE; uncorrected formation energy = -0.048 eV/atom; magnetic moment = 0.00 μB per formula unit
1.0
5.948 0.000 0.000
0.000 5.948 0.000
0.000 0.000 5.097
K Na Au Br
1 1 2 1
direct
0.000 0.000 0.000 K
0.500 0.500 0.000 Na
0.000 0.500 0.500 Au
0.500 0.000 0.500 Au
0.500 0.500 0.500 Br

KNbAu2Br, optimized geometry, DFT PBE; uncorrected formation energy = 1.099 eV/atom; magnetic moment = 4.44 μB per formula unit
1.0
5.283 0.000 0.000
0.000 5.283 0.000
0.000 0.000 5.550
K Nb Au Br
1 1 2 1
direct
0.000 0.000 0.000 K
0.500 0.500 0.000 Nb
0.000 0.500 0.500 Au
0.500 0.000 0.500 Au
0.000 0.000 0.500 Br

K6Au2BrO, optimized geometry, DFT PBE; uncorrected formation energy = -0.770 eV/atom; magnetic moment = 0.00 μB per formula unit
1.0
7.870 0.000 0.000
0.000 8.276 0.000
-7.812 0.000 11.305
K Au Br O
12 4 2 2
direct
0.123 0.035 0.222 K
0.123 0.465 0.722 K
0.220 0.728 0.054 K
0.220 0.772 0.554 K
0.322 0.172 0.048 K
0.322 0.328 0.548 K
0.678 0.672 0.452 K
0.678 0.828 0.952 K
0.780 0.228 0.446 K
0.780 0.272 0.946 K
0.877 0.535 0.278 K
0.877 0.965 0.778 K
0.270 0.066 0.749 Au
0.270 0.434 0.249 Au
0.730 0.566 0.751 Au
0.730 0.934 0.251 Au
0.500 0.000 0.500 Br
0.500 0.500 0.000 Br
0.000 0.000 0.000 O
0.000 0.500 0.500 O

K12Au4BrO3, optimized geometry, DFT PBE; uncorrected formation energy = -0.749 eV/atom; magnetic moment = 0.00 μB per formula unit
1.0
-5.540 5.540 5.540
5.540 -5.540 5.540
5.540 5.540 -5.540
K Au Br O
12 4 1 3
direct
0.000 0.278 0.278 K
0.000 0.722 0.722 K
0.250 0.500 0.750 K
0.250 0.750 0.500 K
0.278 0.000 0.278 K
0.278 0.278 0.000 K
0.500 0.250 0.750 K
0.500 0.750 0.250 K
0.722 0.000 0.722 K
0.722 0.722 0.000 K
0.750 0.250 0.500 K
0.750 0.500 0.250 K
0.000 0.000 0.500 Au
0.000 0.500 0.000 Au
0.500 0.000 0.000 Au
0.500 0.500 0.500 Au
0.000 0.000 0.000 Br
0.000 0.500 0.500 O
0.500 0.000 0.500 O
0.500 0.500 0.000 O

K2AuBrO, optimized geometry, DFT PBE; uncorrected formation energy = -1.101 eV/atom; magnetic moment = 0.00 μB per formula unit
1.0
5.681 0.000 0.000
0.000 5.681 0.000
0.000 0.000 4.060
K Au Br O
2 1 1 1
direct
0.000 0.500 0.000 K
0.500 0.000 0.000 K
0.000 0.000 0.500 Au
0.500 0.500 0.500 Br
0.000 0.000 0.000 O

K2PbAu2Br6, optimized geometry, DFT PBE; uncorrected formation energy = -0.850 eV/atom; magnetic moment = 0.00 μB per formula unit
1.0
7.158 -4.065 0.000
7.158 4.065 0.000
-4.252 0.000 6.868
K Pb Au Br
2 1 2 6
direct
0.244 0.244 0.199 K
0.756 0.756 0.801 K
0.000 0.000 0.500 Pb
0.446 0.446 0.788 Au
0.554 0.554 0.212 Au
0.174 0.675 0.173 Br
0.236 0.236 0.598 Br
0.325 0.826 0.827 Br
0.675 0.174 0.173 Br
0.764 0.764 0.402 Br
0.826 0.325 0.827 Br